{
  "formula": "Tl3V2HgO8",
  "functional": "PBE+U",
  "state": "optimized geometry",
  "energy_ev_per_atom": -5.63,
  "space_group": "P-3m1 (164)",
  "n_ef_per_ev_fu": 5.9,
  "lattice_angstrom": [[5.973, 0.000, 0.000], [-2.987, 5.173, 0.000], [0.000, 0.000, 7.459]],
  "species": ["Tl", "Tl", "Tl", "V", "V", "Hg", "O", "O", "O", "O", "O", "O", "O", "O"],
  "frac_coords": [[0.000, 0.000, 0.000], [0.333, 0.667, 0.657], [0.667, 0.333, 0.343], [0.333, 0.667, 0.202], [0.667, 0.333, 0.798], [0.000, 0.000, 0.500], [0.171, 0.341, 0.277], [0.171, 0.829, 0.277], [0.333, 0.667, 0.976], [0.341, 0.171, 0.723], [0.659, 0.829, 0.277], [0.667, 0.333, 0.024], [0.829, 0.171, 0.723], [0.829, 0.659, 0.723]]
}